Below is BaLa2Cu after structural relaxation, with properties calculated at the GGA-PBE level.

Output
The calculation puts the total energy at -46.39 eV/cell. The formation energy is 103 meV/atom. For the density of states at the Fermi level, the calculation gives 1.84 states/eV per atom. As for the polymorph energy (0 for the lowest one): 86 meV per atom.

a = 4.1523 Å, b = 4.1523 Å, c = 30.7371 Å
α = 90.00°, β = 90.00°, γ = 120.00°
Space group R3m (No. 160, hexagonal axes)
One atom of each set of equivalent atoms:
Ba (0.0000, 0.0000, 0.0000) [3 per cell]
La (0.0000, 0.0000, 0.2234) [3 per cell]
La (0.0000, 0.0000, 0.4439) [3 per cell]
Cu (0.0000, 0.0000, 0.8341) [3 per cell]